No. 1
Material: MnIr2Au
Method: DFT, PBE
State: optimized geometry

Structure (extended XYZ):
```
4
Lattice="-1.4290 2.3229 4.6576 1.4290 -2.3229 4.6576 1.4290 2.3229 -4.6576" Properties=species:S:1:pos:R:3 pbc="T T T"
Mn 0.0000 0.0000 0.0000
Ir 0.0000 0.0000 4.8602
Ir 0.0000 2.3229 2.4431
Au 1.4290 0.0000 2.3788
```

Properties
Energy: -7.275 eV per atom
Formation energy from the elements: 0.2668 eV/atom

***

No. 2
Material: MnIr2Au
Method: DFT, PBE
State: optimized geometry

Structure (extended XYZ):
```
4
Lattice="2.8207 0.0000 0.0000 0.0000 3.8620 0.0000 -0.0072 0.0000 5.6028" Properties=species:S:1:pos:R:3 pbc="T T T"
Mn 0.0000 0.0000 0.0000
Ir -0.0020 0.0000 3.0201
Ir 1.4064 1.9310 4.2277
Au 1.4079 1.9310 1.4298
```

Properties
Energy: -7.454 eV per atom
Formation energy from the elements: 0.0881 eV/atom

***

No. 3
Material: MnIrAu2
Method: DFT, PBE
State: optimized geometry

Structure (extended XYZ):
```
4
Lattice="-1.9802 1.9802 4.1185 1.9802 -1.9802 4.1185 1.9802 1.9802 -4.1185" Properties=species:S:1:pos:R:3 pbc="T T T"
Mn 0.0000 0.0000 0.0000
Ir 0.0000 0.0000 4.1185
Au 1.9802 0.0000 2.0592
Au 0.0000 1.9802 2.0592
```

Properties
Energy: -5.994 eV per atom
Formation energy from the elements: 0.1520 eV/atom

***

No. 4
Material: MnIr2Au
Method: DFT, PBE
State: optimized geometry

Structure (extended XYZ):
```
4
Lattice="4.5589 -1.4275 0.0000 4.5589 1.4275 0.0000 -0.9190 0.0000 4.6995" Properties=species:S:1:pos:R:3 pbc="T T T"
Mn 0.0000 0.0000 0.0000
Ir 4.0271 0.0000 2.1891
Ir 6.5449 0.0000 1.2720
Au 1.5496 0.0000 3.6027
```

Properties
Energy: -7.407 eV per atom
Formation energy from the elements: 0.1348 eV/atom

***

No. 5
Material: MnIr2Au
Method: DFT, PBE
State: optimized geometry

Structure (extended XYZ):
```
4
Lattice="1.3999 -2.3779 0.0000 1.3999 2.3779 0.0000 0.0000 0.0000 9.3051" Properties=species:S:1:pos:R:3 pbc="T T T"
Mn 0.0000 0.0000 0.0000
Ir 0.0000 0.0000 4.8711
Ir 1.3999 0.0000 7.1834
Au 1.3999 0.0000 2.3437
```

Properties
Energy: -7.253 eV per atom
Formation energy from the elements: 0.2888 eV/atom

***

No. 6
Material: MnIrAu2
Method: DFT, PBE
State: optimized geometry

Structure (extended XYZ):
```
4
Lattice="0.0000 3.1965 3.1965 3.1965 0.0000 3.1965 3.1965 3.1965 0.0000" Properties=species:S:1:pos:R:3 pbc="T T T"
Mn 0.0000 0.0000 0.0000
Ir 4.7948 4.7948 4.7948
Au 1.5983 1.5983 1.5983
Au 3.1965 3.1965 3.1965
```

Properties
Energy: -5.935 eV per atom
Formation energy from the elements: 0.2117 eV/atom

***

No. 7
Material: MnIrAu2
Method: DFT, PBE
State: optimized geometry

Structure (extended XYZ):
```
4
Lattice="0.0000 3.1405 3.1405 3.1405 0.0000 3.1405 3.1405 3.1405 0.0000" Properties=species:S:1:pos:R:3 pbc="T T T"
Mn 0.0000 0.0000 0.0000
Ir 3.1405 3.1405 3.1405
Au 1.5702 1.5702 1.5702
Au 4.7107 4.7107 4.7107
```

Properties
Energy: -5.528 eV per atom
Formation energy from the elements: 0.6187 eV/atom

***

No. 8
Material: MnIrAu2
Method: DFT, PBE
State: optimized geometry

Structure (extended XYZ):
```
4
Lattice="2.7420 -4.8350 0.0000 2.7420 4.8350 0.0000 -1.3962 0.0000 2.4932" Properties=species:S:1:pos:R:3 pbc="T T T"
Mn 0.0000 0.0000 0.0000
Ir 2.7420 0.0000 0.0000
Au 0.6729 2.4175 1.2466
Au 0.6729 -2.4175 1.2466
```

Properties
Energy: -5.904 eV per atom
Formation energy from the elements: 0.2422 eV/atom

***

No. 9
Material: MnIr2Au
Method: DFT, PBE
State: optimized geometry

Structure (extended XYZ):
```
4
Lattice="1.4154 -2.3592 0.0000 1.4154 2.3592 0.0000 0.0000 0.0000 9.2341" Properties=species:S:1:pos:R:3 pbc="T T T"
Mn 0.0000 0.0000 0.0000
Ir 1.4154 0.0000 2.0652
Ir 1.4154 0.0000 7.1689
Au 0.0000 0.0000 4.6171
```

Properties
Energy: -7.371 eV per atom
Formation energy from the elements: 0.1714 eV/atom

***

No. 10
Material: MnIrAu2
Method: DFT, PBE
State: optimized geometry

Structure (extended XYZ):
```
4
Lattice="2.9270 0.0000 0.0000 0.0000 3.9750 0.0000 0.0000 0.0000 5.5981" Properties=species:S:1:pos:R:3 pbc="T T T"
Mn 0.0000 0.0000 0.0000
Ir 0.0000 0.0000 2.7991
Au 1.4635 1.9875 1.3906
Au 1.4635 1.9875 4.2075
```

Properties
Energy: -5.948 eV per atom
Formation energy from the elements: 0.1982 eV/atom

***

No. 11
Material: MnIr2Au
Method: DFT, PBE
State: optimized geometry

Structure (extended XYZ):
```
4
Lattice="2.7814 0.0000 0.0000 0.0000 4.6446 0.0000 -0.1127 0.0000 4.7903" Properties=species:S:1:pos:R:3 pbc="T T T"
Mn 0.0000 0.0000 0.0000
Ir 0.5986 2.3223 3.6352
Ir 2.0701 2.3223 1.1551
Au 1.3344 0.0000 2.3951
```

Properties
Energy: -7.311 eV per atom
Formation energy from the elements: 0.2313 eV/atom

***

No. 12
Material: MnIrAu2
Method: DFT, PBE
State: optimized geometry

Structure (extended XYZ):
```
8
Lattice="-3.6566 3.6566 2.6847 3.6566 -3.6566 2.6847 3.6566 3.6566 -2.6847" Properties=species:S:1:pos:R:3 pbc="T T T"
Mn 0.0000 0.0000 0.0000
Mn 0.0000 3.6566 1.3423
Ir 3.6566 0.0000 1.3423
Ir 0.0000 0.0000 2.6847
Au 5.4849 1.8051 -0.6712
Au 1.8051 1.8283 0.6712
Au -1.8283 1.8516 2.0135
Au 1.8516 1.8283 3.3559
```

Properties
Energy: -5.648 eV per atom
Formation energy from the elements: 0.4980 eV/atom

***

What is the formula in the third record?
MnIrAu2

***

What is the energy in the eleventh record?
-7.311 eV per atom

***

Copy entry 4 word for word.
Material: MnIr2Au
Method: DFT, PBE
State: optimized geometry

Structure (extended XYZ):
```
4
Lattice="4.5589 -1.4275 0.0000 4.5589 1.4275 0.0000 -0.9190 0.0000 4.6995" Properties=species:S:1:pos:R:3 pbc="T T T"
Mn 0.0000 0.0000 0.0000
Ir 4.0271 0.0000 2.1891
Ir 6.5449 0.0000 1.2720
Au 1.5496 0.0000 3.6027
```

Properties
Energy: -7.407 eV per atom
Formation energy from the elements: 0.1348 eV/atom